A relaxed LiGd2Ru crystal, computed with PBE-GGA.

Cell and atoms, written as extended XYZ:
```
4
Lattice="3.4407 0.0000 0.0000 0.0000 3.4407 0.0000 0.0000 0.0000 8.1554" Properties=species:S:1:pos:R:3 pbc="T T T"
Li 0.0000 0.0000 0.0000
Gd 1.7203 1.7203 2.4031
Gd 1.7203 1.7203 5.7523
Ru 0.0000 0.0000 4.0777
```

Calculated density: 7.3 g/cm³
Formation energy from the elements: -0.1972 eV/atom

A relaxed Nd2SmBiC crystal, computed with PBE-GGA.

Cell and atoms, written as extended XYZ:
```
5
Lattice="5.1321 0.0000 0.0000 0.0000 5.1321 0.0000 0.0000 0.0000 5.0462" Properties=species:S:1:pos:R:3 pbc="T T T"
Nd 0.0000 2.5661 0.0000
Nd 2.5661 0.0000 0.0000
Sm 0.0000 0.0000 2.5231
Bi 2.5661 2.5661 2.5231
C 0.0000 0.0000 0.0000
```

Calculated density: 8.2 g/cm³
Formation energy from the elements: -0.4551 eV/atom

A relaxed Tb5Pr2Pd4 crystal, computed with PBE-GGA.

Cell and atoms, written as extended XYZ:
```
11
Lattice="10.5713 -2.0873 0.0000 10.5713 2.0873 0.0000 -1.3525 0.0000 7.0453" Properties=species:S:1:pos:R:3 pbc="T T T"
Tb 0.0000 0.0000 0.0000
Tb 5.8328 0.0000 1.3859
Tb 6.5296 0.0000 5.1848
Tb 13.2603 0.0000 1.8606
Tb 13.9572 0.0000 5.6594
Pr 0.7812 0.0000 4.1917
Pr 19.0088 0.0000 2.8536
Pd 1.7158 0.0000 6.9857
Pd 3.6885 0.0000 3.6717
Pd 16.1015 0.0000 3.3737
Pd 18.0742 0.0000 0.0596
```

Calculated density: 8.0 g/cm³
Formation energy from the elements: -0.4707 eV/atom

A relaxed BaMnRh3 crystal, computed with PBE-GGA.

Cell and atoms, written as extended XYZ:
```
5
Lattice="4.9876 0.0000 0.0000 0.0000 4.9876 0.0000 0.0000 0.0000 4.9876" Properties=species:S:1:pos:R:3 pbc="T T T"
Ba 0.0000 0.0000 0.0000
Mn 2.4938 2.4938 2.4938
Rh 0.0000 0.0000 2.4938
Rh 0.0000 2.4938 0.0000
Rh 2.4938 0.0000 0.0000
```

Calculated density: 6.7 g/cm³
Formation energy from the elements: 2.3692 eV/atom

A relaxed Na2ZnGe3 crystal, computed with PBE-GGA.

Cell and atoms, written as extended XYZ:
```
12
Lattice="6.9723 -4.0189 0.0000 6.9723 4.0189 0.0000 0.0000 0.0000 5.0945" Properties=species:S:1:pos:R:3 pbc="T T T"
Na 2.5059 1.2664 1.2736
Na 2.5059 -1.2664 3.8209
Na 11.4387 1.2664 1.2736
Na 11.4387 -1.2664 3.8209
Zn 6.9723 1.5850 1.2736
Zn 6.9723 -1.5850 3.8209
Ge 0.0000 0.0000 0.0000
Ge 0.0000 0.0000 2.5473
Ge 5.1828 0.0000 0.0000
Ge 5.1828 0.0000 2.5473
Ge 8.7618 0.0000 0.0000
Ge 8.7618 0.0000 2.5473
```

Calculated density: 3.8 g/cm³
Formation energy from the elements: 0.0759 eV/atom

A relaxed MgRu2Se crystal, computed with PBE-GGA.

Cell and atoms, written as extended XYZ:
```
4
Lattice="0.0000 3.1568 3.1568 3.1568 0.0000 3.1568 3.1568 3.1568 0.0000" Properties=species:S:1:pos:R:3 pbc="T T T"
Mg 0.0000 0.0000 0.0000
Ru 3.1568 3.1568 3.1568
Ru 4.7352 4.7352 4.7352
Se 1.5784 1.5784 1.5784
```

Energy relative to the elements, uncorrected: 1.35 eV per formula unit
Calculated density: 8.1 g/cm³

Number 1: raw total energy -10.0351 eV per atom. Number 2: raw total energy -5.9270 eV per atom. Number 3: raw total energy -5.3327 eV per atom. Number 4: raw total energy -4.2601 eV per atom. Number 5: raw total energy -2.8848 eV per atom. Number 6: raw total energy -5.5706 eV per atom.